(1)
Density functional theory data (PBE) for crystalline Y2Sn2H at its relaxed geometry.

Output
- Energy relative to the lowest polymorph listed for this composition: 667.3 meV per atom

Cell: 6.158 6.158 5.703 Å, 57.32 57.32 90.00°
Site moments in Bohr magnetons follow the coordinates.
Atoms (fractional coordinates):
1 Y 0.750 0.250 0.500  0.09
2 Y 0.250 0.750 0.500  0.09
3 H 0.000 0.000 0.000  0.00
4 Sn 0.285 0.285 0.430  -0.01
5 Sn 0.715 0.715 0.570  -0.01

---

(2)
Density functional theory data (PBE) for crystalline Y5Sn2H at its relaxed geometry.

Output
- Electronic total energy: -5.85 eV per atom

Cell: 6.942 6.942 6.622 Å, 121.60 121.60 90.03°
Site moments in Bohr magnetons follow the coordinates.
Atoms (fractional coordinates):
1 Y 0.751 0.253 0.004  0.15
2 Y 0.253 0.253 0.004  0.15
3 Y 0.751 0.751 0.004  0.15
4 Y 0.253 0.751 0.004  0.15
5 Y 0.757 0.757 0.514  0.11
6 Sn 0.252 0.753 0.505  -0.01
7 Sn 0.753 0.252 0.505  -0.01
8 H 0.007 0.007 0.015  0.00

---

(3)
Density functional theory data (PBE) for crystalline YSnH at its relaxed geometry.

Output
- Energy relative to the lowest polymorph listed for this composition: 278.9 meV per atom

Cell: 4.621 7.623 7.731 Å, 90.00 90.00 90.00°
Atoms (fractional coordinates):
1 Y 0.000 0.000 0.000
2 Y 0.500 0.500 0.500
3 Y 0.500 0.000 0.500
4 Y 0.000 0.500 0.000
5 H 0.992 0.250 0.869
6 H 0.508 0.750 0.369
7 H 0.008 0.750 0.131
8 H 0.492 0.250 0.631
9 Sn 0.499 0.250 0.131
10 Sn 0.001 0.750 0.631
11 Sn 0.501 0.750 0.869
12 Sn 0.999 0.250 0.369

---

no.,calculated volume (Å³/cell),size of the total moment (μB per formula unit)
1,139.6,0.310
2,214.2,1.231
3,272.4,0.000